DFT (PBE) results for a relaxed TiGaCoPt crystal.

Cell: 3.9163 3.9163 7.2391 Å, 90.00 90.00 90.00°
With the nearest neighbours (Å) after each atom.
Space group I-4m2 (No. 119)
Symmetry-distinct sites (fractional):
Ti (0.0000, 0.0000, 0.0000) [2 per cell]  4 Co 2.67, 4 Pt 2.67, 4 Ga 2.77
Ga (0.0000, 0.0000, 0.5000) [2 per cell]  4 Pt 2.67, 4 Co 2.67, 4 Ti 2.77
Co (0.0000, 0.5000, 0.7500) [2 per cell]  4 Ga 2.67, 4 Ti 2.67, 4 Pt 2.77
Pt (0.0000, 0.5000, 0.2500) [2 per cell]  4 Ti 2.67, 4 Ga 2.67, 4 Co 2.77

Calculated values
The energy of formation comes out at -0.67 eV per atom.



DFT (PBE) results for a relaxed Ac3Sm5O12 crystal.

Cell: 14.2453 14.2453 14.2453 Å, 90.00 90.00 90.00°
With the nearest neighbours (Å) after each atom.
Space group Ia-3d (No. 230)
Symmetry-distinct sites (fractional):
Ac (0.0000, 0.2500, 0.1250) [24 per cell]  8 O 2.68-2.73
Sm (0.0000, 0.0000, 0.0000) [16 per cell]  6 O 2.36
Sm (0.0000, 0.2500, 0.3750) [24 per cell]  4 O 2.20
O (0.0229, 0.0616, 0.6520) [96 per cell]  2 Sm 2.20-2.36

Calculated values
For the uncorrected formation energy, the calculation gives -3.289 eV/atom.



DFT (PBE) results for a relaxed TmMn3Re3 crystal.

Cell: 6.4679 6.4679 6.4679 Å, 90.00 90.00 90.00°
With the nearest neighbours (Å) after each atom.
Space group Pm-3n (No. 223)
Symmetry-distinct sites (fractional):
Tm (0.0000, 0.0000, 0.0000) [2 per cell]  12 Mn 3.62, 12 Re 3.62
Mn (0.0000, 0.2500, 0.5000) [6 per cell]  4 Re 2.29
Re (0.0000, 0.5000, 0.2500) [6 per cell]  4 Mn 2.29

Calculated values
The energy of formation comes out at 0.90 eV per atom.



DFT (PBE) results for a relaxed Rb2TaPtBr6 crystal.

Cell: 7.4204 7.4204 11.9591 Å, 90.00 90.00 90.00°
With the nearest neighbours (Å) after each atom.
Space group I4/mmm (No. 139)
Symmetry-distinct sites (fractional):
Rb (0.0000, 0.5000, 0.2500) [4 per cell]  12 Br 3.73-3.98
Ta (0.0000, 0.0000, 0.0000) [2 per cell]  6 Br 2.62
Pt (0.0000, 0.0000, 0.5000) [2 per cell]  4 Br 2.63
Br (0.0000, 0.0000, 0.2193) [4 per cell]  1 Ta 2.62
Br (0.2493, 0.2493, 0.0000) [8 per cell]  1 Ta 2.62, 1 Pt 2.63

Calculated values
For the uncorrected formation energy, the calculation gives -0.795 eV/atom.



DFT (PBE) results for a relaxed Pm4As2Cl3 crystal.

Cell: 7.2268 4.1723 16.9675 Å, 90.00 90.07 90.00°
With the nearest neighbours (Å) after each atom.
Space group C2/m (No. 12)
Symmetry-distinct sites (fractional):
Pm (0.0008, 0.0000, 0.2989) [4 per cell]  3 Cl 2.91, 3 As 2.91
Pm (0.1664, 0.5000, 0.8900) [4 per cell]  3 As 2.88, 3 Cl 3.05
As (0.1672, 0.5000, 0.2028) [4 per cell]  6 Pm 2.88-2.91
Cl (0.0000, 0.0000, 0.0000) [2 per cell]  6 Pm 3.05
Cl (0.1656, 0.5000, 0.6051) [4 per cell]  3 Pm 2.91

Calculated values
For the uncorrected formation energy, the calculation gives -1.728 eV/atom.



DFT (PBE) results for a relaxed AlIrC3 crystal.

Cell: 3.8446 3.8446 3.8446 Å, 90.00 90.00 90.00°
With the nearest neighbours (Å) after each atom.
Space group Pm-3m (No. 221)
Symmetry-distinct sites (fractional):
Al (0.0000, 0.0000, 0.0000) [1 per cell]  6 C 1.92
Ir (0.5000, 0.5000, 0.5000) [1 per cell]  12 C 2.72
C (0.0000, 0.0000, 0.5000) [3 per cell]  2 Al 1.92

Calculated values
The energy of formation comes out at 2.56 eV per atom.



DFT (PBE) results for a relaxed ErHf4Co5 crystal.

Cell: 3.1658 3.1658 16.0755 Å, 90.00 90.00 90.00°
With the nearest neighbours (Å) after each atom.
Space group P4/mmm (No. 123)
Symmetry-distinct sites (fractional):
Er (0.0000, 0.0000, 0.0000) [1 per cell]  8 Co 2.96, 4 Er 3.17
Hf (0.0000, 0.0000, 0.2061) [2 per cell]  8 Co 2.63-2.78
Hf (0.0000, 0.0000, 0.4026) [2 per cell]  8 Co 2.70-2.73
Co (0.5000, 0.5000, 0.1200) [2 per cell]  4 Hf 2.63
Co (0.5000, 0.5000, 0.3090) [2 per cell]  8 Hf 2.70-2.78
Co (0.5000, 0.5000, 0.5000) [1 per cell]  8 Hf 2.73

Calculated values
The energy of formation comes out at -0.37 eV per atom.



DFT (PBE) results for a relaxed BeVB3 crystal.

Cell: 3.8899 3.8899 3.8899 Å, 90.00 90.00 90.00°
With the nearest neighbours (Å) after each atom.
Space group Pm-3m (No. 221)
Symmetry-distinct sites (fractional):
Be (0.0000, 0.0000, 0.0000) [1 per cell]  12 B 2.75
V (0.5000, 0.5000, 0.5000) [1 per cell]  6 B 1.94
B (0.0000, 0.5000, 0.5000) [3 per cell]  2 V 1.94

Calculated values
The energy of formation comes out at 1.51 eV per atom.



DFT (PBE) results for a relaxed BeZnRe crystal.

Cell: 2.6248 3.1412 9.0831 Å, 90.00 90.00 90.00°
With the nearest neighbours (Å) after each atom.
Space group Imm2 (No. 44)
Symmetry-distinct sites (fractional):
Be (0.0000, 0.0000, 0.0000) [2 per cell]  4 Re 2.45, 4 Zn 2.48, 2 Be 2.62
Zn (0.0000, 0.0000, 0.3457) [2 per cell]  4 Be 2.48, 2 Zn 2.62, 5 Re 2.72-2.75
Re (0.0000, 0.0000, 0.6485) [2 per cell]  4 Be 2.45, 2 Re 2.62, 4 Zn 2.72

Calculated values
The energy of formation comes out at 0.20 eV per atom.



DFT (PBE) results for a relaxed TlTe3S crystal.

Cell: 5.7731 5.7731 5.7731 Å, 90.00 90.00 90.00°
With the nearest neighbours (Å) after each atom.
Space group Pm-3m (No. 221)
Symmetry-distinct sites (fractional):
Tl (0.0000, 0.0000, 0.0000) [1 per cell]  6 Te 2.89
Te (0.0000, 0.0000, 0.5000) [3 per cell]  2 Tl 2.89
S (0.5000, 0.5000, 0.5000) [1 per cell]  12 Te 4.08

Calculated values
For the uncorrected formation energy, the calculation gives 1.040 eV/atom.



DFT (PBE) results for a relaxed Cr2IrSe crystal.

Cell: 2.9346 4.2610 4.9196 Å, 90.00 107.17 90.00°
With the nearest neighbours (Å) after each atom.
Space group Pm (No. 6)
Symmetry-distinct sites (fractional):
Cr (0.0000, 0.0000, 0.0000) [1 per cell]  3 Ir 2.49-2.66, 4 Se 2.64, 2 Cr 2.69
Cr (0.1739, 0.5000, 0.3480) [1 per cell]  3 Se 2.56-2.60, 4 Ir 2.65, 2 Cr 2.69
Ir (0.7337, 0.0000, 0.4705) [1 per cell]  7 Cr 2.49-2.66
Se (0.4473, 0.5000, 0.8916) [1 per cell]  7 Cr 2.56-2.64

Calculated values
For the uncorrected formation energy, the calculation gives 0.157 eV/atom.



DFT (PBE) results for a relaxed Pr3In7Rh4 crystal.

Cell: 16.6128 4.5126 10.0890 Å, 90.00 122.81 90.00°
With the nearest neighbours (Å) after each atom.
Space group C2/m (No. 12)
Symmetry-distinct sites (fractional):
Pr (0.0000, 0.0000, 0.0000) [2 per cell]  2 Rh 3.11
Pr (0.1920, 0.5000, 0.7031) [4 per cell]  4 Rh 3.20-3.24, 9 In 3.26-3.52
In (0.0000, 0.0000, 0.5000) [2 per cell]  2 Rh 2.84, 6 In 3.14-3.17
In (0.0061, 0.5000, 0.2844) [4 per cell]  3 Rh 2.69-2.81
In (0.1617, 0.0000, 0.4276) [4 per cell]  3 Rh 2.74-2.79
In (0.1846, 0.5000, 0.0280) [4 per cell]  4 Rh 2.70-2.86, 1 In 3.02
Rh (0.1129, 0.0000, 0.8348) [4 per cell]  6 In 2.79-2.86, 1 Pr 3.11
Rh (0.1658, 0.5000, 0.2781) [4 per cell]  5 In 2.69-2.79

Calculated values
The energy of formation comes out at -0.54 eV per atom.



DFT (PBE) results for a relaxed Tb2Dy6Ho3Pu crystal.

Cell: 6.1115 10.5923 11.6669 Å, 90.00 100.09 90.00°
With the nearest neighbours (Å) after each atom.
Space group C2/m (No. 12)
Symmetry-distinct sites (fractional):
Tb (0.0000, 0.1666, 0.0000) [4 per cell]  6 Dy 3.52, 3 Pu 3.53, 3 Tb 3.53
Dy (0.2468, 0.5000, 0.7509) [4 per cell]  6 Dy 3.49-3.55, 1 Pu 3.50, 2 Tb 3.52, 3 Ho 3.52-3.54
Dy (0.2477, 0.3352, 0.2491) [8 per cell]  6 Dy 3.49-3.55, 1 Pu 3.50, 2 Tb 3.52, 3 Ho 3.52-3.54
Ho (0.0000, 0.0000, 0.5000) [2 per cell]  6 Dy 3.52-3.54, 6 Ho 3.53
Ho (0.0000, 0.3330, 0.5000) [4 per cell]  6 Dy 3.52-3.54, 6 Ho 3.53-3.54
Pu (0.0000, 0.5000, 0.0000) [2 per cell]  6 Dy 3.50, 6 Tb 3.53

Calculated values
The energy of formation comes out at 0.04 eV per atom.



DFT (PBE) results for a relaxed Ta2TlTc crystal.

Cell: 7.6315 7.6315 5.5858 Å, 90.00 90.00 90.00°
With the nearest neighbours (Å) after each atom.
Space group I-42d (No. 122)
Symmetry-distinct sites (fractional):
Ta (0.1969, 0.2500, 0.1250) [8 per cell]  2 Tc 2.53
Tl (0.0000, 0.0000, 0.5000) [4 per cell]  2 Tc 2.79, 4 Ta 3.08
Tc (0.0000, 0.0000, 0.0000) [4 per cell]  4 Ta 2.53, 2 Tl 2.79

Calculated values
The energy of formation comes out at 0.71 eV per atom.



DFT (PBE) results for a relaxed PrDy2Ru9 crystal.

Cell: 5.3137 5.3137 26.0443 Å, 90.00 90.00 120.00°
With the nearest neighbours (Å) after each atom.
Space group R-3m (No. 166, hexagonal axes)
Symmetry-distinct sites (fractional):
Pr (0.0000, 0.0000, 0.0000) [3 per cell]  18 Ru 3.07-3.43
Dy (0.0000, 0.0000, 0.1398) [6 per cell]  12 Ru 3.03-3.23, 3 Dy 3.37
Ru (0.0000, 0.0000, 0.3387) [6 per cell]  6 Ru 2.58-2.75
Ru (0.0000, 0.0000, 0.5000) [3 per cell]  6 Ru 2.69
Ru (0.0118, 0.5059, 0.9165) [18 per cell]  7 Ru 2.56-2.75

Calculated values
The energy of formation comes out at -0.10 eV per atom.



DFT (PBE) results for a relaxed NbVRe2I crystal.

Cell: 4.6239 4.6239 4.6982 Å, 90.00 90.00 90.00°
With the nearest neighbours (Å) after each atom.
Space group P4/mmm (No. 123)
Symmetry-distinct sites (fractional):
Nb (0.0000, 0.0000, 0.0000) [1 per cell]  2 V 2.35
V (0.0000, 0.0000, 0.5000) [1 per cell]  4 Re 2.31, 2 Nb 2.35
Re (0.0000, 0.5000, 0.5000) [2 per cell]  2 V 2.31
I (0.5000, 0.5000, 0.0000) [1 per cell]  4 Nb 3.27, 8 Re 3.30

Calculated values
For the uncorrected formation energy, the calculation gives 1.690 eV/atom.



DFT (PBE) results for a relaxed TeRu2 crystal.

Cell: 6.6457 6.6457 4.0246 Å, 90.00 90.00 120.00°
With the nearest neighbours (Å) after each atom.
Space group P-62m (No. 189)
Symmetry-distinct sites (fractional):
Te (0.0000, 0.0000, 0.0000) [1 per cell]  9 Ru 2.64
Te (0.3333, 0.6667, 0.5000) [2 per cell]  3 Ru 2.51
Ru (0.0000, 0.2565, 0.5000) [3 per cell]  4 Te 2.51-2.64
Ru (0.0000, 0.6022, 0.0000) [3 per cell]  5 Te 2.64-2.86

Calculated values
For the uncorrected formation energy, the calculation gives 0.374 eV/atom.



DFT (PBE) results for a relaxed Pr12ErAl3 crystal.

Cell: 4.9758 4.9758 20.2085 Å, 90.00 90.00 90.00°
With the nearest neighbours (Å) after each atom.
Space group P4/mmm (No. 123)
Symmetry-distinct sites (fractional):
Pr (0.0000, 0.0000, 0.0000) [1 per cell]  8 Pr 3.50, 4 Al 3.52
Pr (0.0000, 0.0000, 0.2437) [2 per cell]  8 Pr 3.50-3.51, 4 Al 3.52
Pr (0.0000, 0.0000, 0.5000) [1 per cell]  4 Er 3.52, 8 Pr 3.67
Pr (0.0000, 0.5000, 0.1221) [4 per cell]  4 Al 3.49-3.50, 8 Pr 3.50-3.52
Pr (0.0000, 0.5000, 0.3663) [4 per cell]  8 Pr 3.51-3.67, 2 Al 3.52, 2 Er 3.67
Er (0.5000, 0.5000, 0.5000) [1 per cell]  12 Pr 3.52-3.67
Al (0.5000, 0.5000, 0.0000) [1 per cell]  12 Pr 3.50-3.52
Al (0.5000, 0.5000, 0.2434) [2 per cell]  12 Pr 3.49-3.52

Calculated values
The energy of formation comes out at -0.11 eV per atom.



DFT (PBE) results for a relaxed Y2ReNi crystal.

Cell: 3.0815 4.6722 5.8141 Å, 90.00 90.00 90.00°
With the nearest neighbours (Å) after each atom.
Space group Pmm2 (No. 25)
Symmetry-distinct sites (fractional):
Y (0.0000, 0.0000, 0.0000) [1 per cell]  2 Ni 2.79-3.03, 4 Re 2.92, 2 Y 3.08
Y (0.5000, 0.5000, 0.3702) [1 per cell]  2 Re 2.81-3.00, 4 Ni 2.93, 2 Y 3.08
Re (0.5000, 0.5000, 0.8543) [1 per cell]  6 Y 2.81-3.00, 2 Re 3.08
Ni (0.0000, 0.0000, 0.5205) [1 per cell]  6 Y 2.79-3.03, 2 Ni 3.08

Calculated values
The energy of formation comes out at 0.37 eV per atom.



DFT (PBE) results for a relaxed Nd3Sn3Ru crystal.

Cell: 11.5162 4.5463 15.3963 Å, 90.00 108.67 90.00°
With the nearest neighbours (Å) after each atom.
Space group C2/m (No. 12)
Symmetry-distinct sites (fractional):
Nd (0.0196, 0.0000, 0.3822) [4 per cell]  3 Ru 3.20-3.42, 7 Sn 3.22-3.57
Nd (0.1015, 0.0000, 0.9208) [4 per cell]  7 Sn 3.18-3.44
Nd (0.2389, 0.0000, 0.2423) [4 per cell]  2 Ru 3.14, 6 Sn 3.25-3.37
Sn (0.0274, 0.5000, 0.2356) [4 per cell]  1 Ru 2.78, 1 Sn 2.98
Sn (0.1207, 0.5000, 0.0760) [4 per cell]  2 Sn 2.98-3.01, 3 Nd 3.18-3.25
Sn (0.1530, 0.5000, 0.5349) [4 per cell]  3 Ru 2.69-2.83
Ru (0.2427, 0.5000, 0.3837) [4 per cell]  4 Sn 2.69-2.83

Calculated values
The energy of formation comes out at -0.64 eV per atom.



no.,volume (Å³/atom),final energy (eV for the cell shown)
1,13.88,-53.489
2,18.07,-1289.670
3,19.33,-126.002
4,32.92,-75.627
5,28.42,-98.794
6,11.37,-27.466
7,16.11,-83.593
8,11.77,-25.303
9,12.48,-33.714
10,38.48,-10.717
11,14.69,-30.965
12,22.70,-140.905
13,30.98,-128.840
14,20.33,-134.347
15,17.69,-296.116
16,20.09,-37.183
17,17.10,-61.712
18,31.27,-74.889
19,20.93,-29.663
20,27.27,-160.380